(1)
This record from Alexandria via LeMat-Bulk describes a relaxed structure of TeIrW2. The functional is GGA-PBEsol.

As for the volume: 65.4 Å³/f.u. Its energy relative to the elements, uncorrected is 643.9 meV per atom.

It has space group I-4m2 (No. 119), with a = 4.032 Å, b = 4.032 Å, c = 8.042 Å, α = 90.00°, β = 90.00° and γ = 90.00°. Symmetry generates all atoms from Te at (0.000, 0.000, 0.000), Ir at (0.000, 0.500, 0.750), W at (0.000, 0.000, 0.500) and W at (0.000, 0.500, 0.250).

***

(2)
This record from Alexandria via LeMat-Bulk describes a relaxed structure of Y2TeIr. The functional is GGA-PBEsol.

As for the volume: 102.1 Å³/f.u. Its energy relative to the elements, uncorrected is -1000.5 meV per atom.

It has space group R-3m (No. 166, hexagonal axes), with a = 4.0712 Å, b = 4.0712 Å, c = 21.3378 Å, α = 90.00°, β = 90.00° and γ = 120.00°. Symmetry generates all atoms from Y at (0.0000, 0.0000, 0.2363), Te at (0.0000, 0.0000, 0.0000) and Ir at (0.0000, 0.0000, 0.5000).

***

(3)
This record from Alexandria via LeMat-Bulk describes a relaxed structure of YTeIr. The functional is GGA-PBEsol.

As for the volume: 64.9 Å³/f.u. Its energy relative to the elements, uncorrected is -817.3 meV per atom.

It has space group P3m1 (No. 156), with a = 4.4344 Å, b = 4.4344 Å, c = 3.8112 Å, α = 90.00°, β = 90.00° and γ = 120.00°. Symmetry generates all atoms from Y at (0.0000, 0.0000, 0.0000), Te at (0.6667, 0.3333, 0.4852) and Ir at (0.3333, 0.6667, 0.5550).

***

(4)
This record from Alexandria via LeMat-Bulk describes a relaxed structure of YTeIr2. The functional is GGA-PBEsol.

As for the volume: 75.2 Å³/f.u. Its energy relative to the elements, uncorrected is -141.1 meV per atom.

It has space group P4/mmm (No. 123), with a = 3.199 Å, b = 3.199 Å, c = 7.348 Å, α = 90.00°, β = 90.00° and γ = 90.00°. Symmetry generates all atoms from Y at (0.000, 0.000, 0.000), Te at (0.000, 0.000, 0.500) and Ir at (0.500, 0.500, 0.269).

***

(5)
This record from Alexandria via LeMat-Bulk describes a relaxed structure of YTe2Ir2. The functional is GGA-PBEsol.

As for the volume: 108.1 Å³/f.u. Its energy relative to the elements, uncorrected is -281.5 meV per atom.

It has space group I4/mmm (No. 139), with a = 4.809 Å, b = 4.809 Å, c = 9.352 Å, α = 90.00°, β = 90.00° and γ = 90.00°. Symmetry generates all atoms from Y at (0.000, 0.000, 0.000), Te at (0.000, 0.500, 0.250) and Ir at (0.000, 0.000, 0.363).

***

(6)
This record from Alexandria via LeMat-Bulk describes a relaxed structure of Y2TeIr. The functional is GGA-PBEsol.

As for the volume: 92.5 Å³/f.u. Its energy relative to the elements, uncorrected is -710.2 meV per atom.

It has space group Immm (No. 71), with a = 4.526 Å, b = 5.545 Å, c = 7.374 Å, α = 90.00°, β = 90.00° and γ = 90.00°. Symmetry generates all atoms from Y at (0.000, 0.000, 0.233), Te at (0.000, 0.500, 0.000) and Ir at (0.000, 0.500, 0.500).

***

(7)
This record from Alexandria via LeMat-Bulk describes a relaxed structure of YTeIr2. The functional is GGA-PBEsol.

As for the volume: 79.1 Å³/f.u. Its energy relative to the elements, uncorrected is -120.6 meV per atom.

It has space group P4mm (No. 99), with a = 3.598 Å, b = 3.598 Å, c = 6.115 Å, α = 90.00°, β = 90.00° and γ = 90.00°. Symmetry generates all atoms from Y at (0.000, 0.000, 0.000), Te at (0.500, 0.500, 0.713), Ir at (0.000, 0.000, 0.427) and Ir at (0.500, 0.500, 0.285).

***

(8)
This record from Alexandria via LeMat-Bulk describes a relaxed structure of ZrTeIr4. The functional is GGA-PBEsol.

As for the volume: 101.6 Å³/f.u. Its energy relative to the elements, uncorrected is -48.8 meV per atom.

It has space group F-43m (No. 216), with a = 7.407 Å, b = 7.407 Å, c = 7.407 Å, α = 90.00°, β = 90.00° and γ = 90.00°. Symmetry generates all atoms from Zr at (0.000, 0.000, 0.000), Te at (0.250, 0.250, 0.250) and Ir at (0.125, 0.125, 0.625).

***

(9)
This record from Alexandria via LeMat-Bulk describes a relaxed structure of ZrTeIr2. The functional is GGA-PBEsol.

As for the volume: 68.9 Å³/f.u. Its energy relative to the elements, uncorrected is -304.2 meV per atom.

It has space group Immm (No. 71), with a = 3.954 Å, b = 4.223 Å, c = 8.259 Å, α = 90.00°, β = 90.00° and γ = 90.00°. Symmetry generates all atoms from Zr at (0.000, 0.000, 0.000), Te at (0.000, 0.000, 0.500) and Ir at (0.000, 0.500, 0.243).

***

(10)
This record from Alexandria via LeMat-Bulk describes a relaxed structure of ThIr2. The functional is GGA-PBEsol.

As for the volume: 55.3 Å³/f.u. The total energy is -10.06 eV/atom.

It has space group Fd-3m (No. 227, origin choice 2), with a = 7.620 Å, b = 7.620 Å, c = 7.620 Å, α = 90.00°, β = 90.00° and γ = 90.00°. Symmetry generates all atoms from Th at (0.125, 0.125, 0.125) and Ir at (0.000, 0.000, 0.500).

***

(11)
This record from Alexandria via LeMat-Bulk describes a relaxed structure of TiIr3. The functional is GGA-PBEsol.

As for the volume: 56.3 Å³/f.u. The total energy is -10.17 eV/atom.

It has space group Pm-3m (No. 221), with a = 3.833 Å, b = 3.833 Å, c = 3.833 Å, α = 90.00°, β = 90.00° and γ = 90.00°. Symmetry generates all atoms from Ti at (0.000, 0.000, 0.000) and Ir at (0.000, 0.500, 0.500).

***

(12)
This record from Alexandria via LeMat-Bulk describes a relaxed structure of TiIr. The functional is GGA-PBEsol.

As for the volume: 29.1 Å³/f.u. The total energy is -9.92 eV/atom.

It has space group P4/mmm (No. 123), with a = 2.912 Å, b = 2.912 Å, c = 3.437 Å, α = 90.00°, β = 90.00° and γ = 90.00°. Symmetry generates all atoms from Ti at (0.000, 0.000, 0.000) and Ir at (0.500, 0.500, 0.500).

***

(13)
This record from Alexandria via LeMat-Bulk describes a relaxed structure of Ti3Ir. The functional is GGA-PBEsol.

As for the volume: 60.7 Å³/f.u. The total energy is -9.28 eV/atom.

It has space group Pm-3n (No. 223), with a = 4.951 Å, b = 4.951 Å, c = 4.951 Å, α = 90.00°, β = 90.00° and γ = 90.00°. Symmetry generates all atoms from Ti at (0.000, 0.250, 0.500) and Ir at (0.000, 0.000, 0.000).

***

(14)
This record from Alexandria via LeMat-Bulk describes a relaxed structure of TiTl2Ir. The functional is GGA-PBEsol.

As for the volume: 72.7 Å³/f.u. The total energy is -5.59 eV/atom.

It has space group Fm-3m (No. 225), with a = 6.626 Å, b = 6.626 Å, c = 6.626 Å, α = 90.00°, β = 90.00° and γ = 90.00°. Symmetry generates all atoms from Ti at (0.000, 0.000, 0.000), Tl at (0.250, 0.250, 0.250) and Ir at (0.000, 0.000, 0.500).

***

(15)
This record from Alexandria via LeMat-Bulk describes a relaxed structure of TiIr3W. The functional is GGA-PBEsol.

As for the volume: 101.6 Å³/f.u. The total energy is -8.79 eV/atom.

It has space group Pm-3m (No. 221), with a = 4.666 Å, b = 4.666 Å, c = 4.666 Å, α = 90.00°, β = 90.00° and γ = 90.00°. Symmetry generates all atoms from Ti at (0.000, 0.000, 0.000), Ir at (0.000, 0.500, 0.500) and W at (0.500, 0.500, 0.500).

***

(16)
This record from Alexandria via LeMat-Bulk describes a relaxed structure of Ti2IrW. The functional is GGA-PBEsol.

As for the volume: 59.2 Å³/f.u. The total energy is -10.58 eV/atom.

It has space group Fm-3m (No. 225), with a = 6.188 Å, b = 6.188 Å, c = 6.188 Å, α = 90.00°, β = 90.00° and γ = 90.00°. Symmetry generates all atoms from Ti at (0.250, 0.250, 0.250), Ir at (0.000, 0.000, 0.000) and W at (0.000, 0.000, 0.500).

***

(17)
This record from Alexandria via LeMat-Bulk describes a relaxed structure of Y3TiIr. The functional is GGA-PBEsol.

As for the volume: 121.9 Å³/f.u. The total energy is -6.80 eV/atom.

It has space group Pm-3m (No. 221), with a = 4.958 Å, b = 4.958 Å, c = 4.958 Å, α = 90.00°, β = 90.00° and γ = 90.00°. Symmetry generates all atoms from Y at (0.000, 0.000, 0.500), Ti at (0.000, 0.000, 0.000) and Ir at (0.500, 0.500, 0.500).

***

(18)
This record from Alexandria via LeMat-Bulk describes a relaxed structure of YTi3Ir. The functional is GGA-PBEsol.

As for the volume: 91.6 Å³/f.u. The total energy is -6.73 eV/atom.

It has space group Pm-3m (No. 221), with a = 4.507 Å, b = 4.507 Å, c = 4.507 Å, α = 90.00°, β = 90.00° and γ = 90.00°. Symmetry generates all atoms from Y at (0.000, 0.000, 0.000), Ti at (0.000, 0.000, 0.500) and Ir at (0.500, 0.500, 0.500).

***

(19)
This record from Alexandria via LeMat-Bulk describes a relaxed structure of YTiIr3. The functional is GGA-PBEsol.

As for the volume: 95.3 Å³/f.u. The total energy is -8.72 eV/atom.

It has space group Pm-3m (No. 221), with a = 4.567 Å, b = 4.567 Å, c = 4.567 Å, α = 90.00°, β = 90.00° and γ = 90.00°. Symmetry generates all atoms from Y at (0.000, 0.000, 0.000), Ti at (0.500, 0.500, 0.500) and Ir at (0.000, 0.500, 0.500).

***

(20)
This record from Alexandria via LeMat-Bulk describes a relaxed structure of Zr2TiIr2. The functional is GGA-PBEsol.

As for the volume: 90.8 Å³/f.u. The total energy is -9.90 eV/atom.

It has space group P4/mbm (No. 127), with a = 6.514 Å, b = 6.514 Å, c = 4.280 Å, α = 90.00°, β = 90.00° and γ = 90.00°. Symmetry generates all atoms from Zr at (0.174, 0.326, 0.000), Ti at (0.000, 0.000, 0.500) and Ir at (0.142, 0.642, 0.500).

***

(21)
This record from Alexandria via LeMat-Bulk describes a relaxed structure of ZrTiIr3. The functional is GGA-PBEsol.

As for the volume: 91.6 Å³/f.u. The total energy is -8.86 eV/atom.

It has space group Pm-3m (No. 221), with a = 4.507 Å, b = 4.507 Å, c = 4.507 Å, α = 90.00°, β = 90.00° and γ = 90.00°. Symmetry generates all atoms from Zr at (0.000, 0.000, 0.000), Ti at (0.500, 0.500, 0.500) and Ir at (0.000, 0.500, 0.500).

***

(22)
This record from Alexandria via LeMat-Bulk describes a relaxed structure of TlIr4. The functional is GGA-PBEsol.

As for the volume: 98.3 Å³/f.u. The total energy is -6.34 eV/atom.

It has space group Im-3m (No. 229), with a = 5.814 Å, b = 5.814 Å, c = 5.814 Å, α = 90.00°, β = 90.00° and γ = 90.00°. Symmetry generates all atoms from Tl at (0.000, 0.000, 0.000) and Ir at (0.250, 0.250, 0.250).

***

(23)
This record from Alexandria via LeMat-Bulk describes a relaxed structure of TlIr4. The functional is GGA-PBEsol.

As for the volume: 76.9 Å³/f.u. The total energy is -8.01 eV/atom.

It has space group I4/m (No. 87), with a = 6.257 Å, b = 6.257 Å, c = 3.926 Å, α = 90.00°, β = 90.00° and γ = 90.00°. Symmetry generates all atoms from Tl at (0.000, 0.000, 0.000) and Ir at (0.098, 0.686, 0.500).

***

(24)
This record from Alexandria via LeMat-Bulk describes a relaxed structure of TlIr2. The functional is GGA-PBEsol.

As for the volume: 49.5 Å³/f.u. The total energy is -6.69 eV/atom.

It has space group P6_3/mmc (No. 194), with a = 4.5827 Å, b = 4.5827 Å, c = 5.4479 Å, α = 90.00°, β = 90.00° and γ = 120.00°. Symmetry generates all atoms from Tl at (0.3333, 0.6667, 0.2500), Ir at (0.0000, 0.0000, 0.0000) and Ir at (0.3333, 0.6667, 0.7500).

***

(25)
This record from Alexandria via LeMat-Bulk describes a relaxed structure of TlIr2. The functional is GGA-PBEsol.

As for the volume: 49.6 Å³/f.u. The total energy is -6.84 eV/atom.

It has space group P-3m1 (No. 164), with a = 2.9137 Å, b = 2.9137 Å, c = 6.7428 Å, α = 90.00°, β = 90.00° and γ = 120.00°. Symmetry generates all atoms from Tl at (0.0000, 0.0000, 0.0000) and Ir at (0.3333, 0.6667, 0.3494).

***

(26)
This record from Alexandria via LeMat-Bulk describes a relaxed structure of Tl3Ir. The functional is GGA-PBEsol.

As for the volume: 88.8 Å³/f.u. The total energy is -3.82 eV/atom.

It has space group R-3m (No. 166, hexagonal axes), with a = 9.4185 Å, b = 9.4185 Å, c = 3.4682 Å, α = 90.00°, β = 90.00° and γ = 120.00°. Symmetry generates all atoms from Tl at (0.0000, 0.5000, 0.0000) and Ir at (0.0000, 0.0000, 0.0000).

***

(27)
This record from Alexandria via LeMat-Bulk describes a relaxed structure of Tl3Ir. The functional is GGA-PBEsol.

As for the volume: 97.3 Å³/f.u. The total energy is -4.02 eV/atom.

It has space group Pmm2 (No. 25), with a = 3.103 Å, b = 3.859 Å, c = 8.128 Å, α = 90.00°, β = 90.00° and γ = 90.00°. Symmetry generates all atoms from Tl at (0.000, 0.000, 0.000), Tl at (0.000, 0.500, 0.316), Tl at (0.500, 0.500, 0.710) and Ir at (0.500, 0.000, 0.471).

***

(28)
This record from Alexandria via LeMat-Bulk describes a relaxed structure of TlIr3. The functional is GGA-PBEsol.

As for the volume: 63.4 Å³/f.u. The total energy is -7.55 eV/atom.

It has space group R-3m (No. 166, hexagonal axes), with a = 2.8343 Å, b = 2.8343 Å, c = 27.3449 Å, α = 90.00°, β = 90.00° and γ = 120.00°. Symmetry generates all atoms from Tl at (0.0000, 0.0000, 0.0000), Ir at (0.0000, 0.0000, 0.2440) and Ir at (0.0000, 0.0000, 0.5000).

***

(29)
This record from Alexandria via LeMat-Bulk describes a relaxed structure of TlIr2. The functional is GGA-PBEsol.

As for the volume: 49.3 Å³/f.u. The total energy is -6.90 eV/atom.

It has space group I4/mmm (No. 139), with a = 2.884 Å, b = 2.884 Å, c = 11.863 Å, α = 90.00°, β = 90.00° and γ = 90.00°. Symmetry generates all atoms from Tl at (0.000, 0.000, 0.000) and Ir at (0.000, 0.000, 0.323).

***

(30)
This record from Alexandria via LeMat-Bulk describes a relaxed structure of TlIrW2. The functional is GGA-PBEsol.

As for the volume: 67.2 Å³/f.u. The total energy is -9.62 eV/atom.

It has space group Cmm2 (No. 35), with a = 3.997 Å, b = 4.006 Å, c = 8.394 Å, α = 90.00°, β = 90.00° and γ = 90.00°. Symmetry generates all atoms from Tl at (0.000, 0.000, 0.000), Ir at (0.000, 0.500, 0.733), W at (0.000, 0.000, 0.527) and W at (0.000, 0.500, 0.277).